# 1
# PdPt2Rh2W2

An optimized crystal structure of PdPt2Rh2W2 (PBE, the Alexandria database).

Cell lengths 3.902, 4.848, 6.236 Å; angles 97.35, 90.00, 113.73 degrees
Sites, in units of the cell vectors:
Pt  0.425  0.849  0.290
Pt  0.575  0.151  0.710
Rh  0.292  0.584  0.841
Rh  0.708  0.416  0.159
Pd  0.000  0.000  0.000
W  0.146  0.292  0.419
W  0.854  0.708  0.581

Properties
energy of formation: -160 meV per atom


# 2
# CaLaTc2Br

An optimized crystal structure of CaLaTc2Br (PBE, the Alexandria database).

Cell lengths 4.929, 5.969, 4.929 Å; angles 90.00, 90.00, 90.00 degrees
Site moments in Bohr magnetons follow the coordinates.
Sites, in units of the cell vectors:
Tc  0.000  0.000  0.500  1.22
Tc  0.500  0.000  0.000  1.47
La  0.000  0.000  0.000  -0.04
Br  0.000  0.500  0.000  0.04
Ca  0.500  0.500  0.500  -0.01

Properties
E_form (uncorrected): 0.8267 eV/atom


# 3
# Rb6Au4F

An optimized crystal structure of Rb6Au4F (PBE, the Alexandria database).

Cell lengths 8.936, 8.936, 10.393 Å; angles 90.00, 90.00, 90.00 degrees
Sites, in units of the cell vectors:
Au  0.615  0.885  0.750
Au  0.885  0.385  0.750
Au  0.115  0.615  0.750
Au  0.385  0.115  0.750
Au  0.385  0.115  0.250
Au  0.615  0.885  0.250
Au  0.115  0.615  0.250
Au  0.885  0.385  0.250
Rb  0.642  0.199  0.000
Rb  0.199  0.358  0.000
Rb  0.000  0.000  0.239
Rb  0.858  0.699  0.500
Rb  0.801  0.642  0.000
Rb  0.358  0.801  0.000
Rb  0.142  0.301  0.500
Rb  0.500  0.500  0.739
Rb  0.500  0.500  0.261
Rb  0.699  0.142  0.500
Rb  0.301  0.858  0.500
Rb  0.000  0.000  0.761
F  0.000  0.000  0.500
F  0.500  0.500  0.000

Properties
E_form (uncorrected): -0.6998 eV/atom


# 4
# La3Mg

An optimized crystal structure of La3Mg (PBE, the Alexandria database).

Cell lengths 10.976, 10.976, 10.976 Å; angles 153.27, 153.27, 38.16 degrees
Sites, in units of the cell vectors:
La  0.250  0.750  0.500
La  0.873  0.873  0.000
La  0.500  0.000  0.500
La  0.000  0.500  0.500
La  0.750  0.250  0.500
La  0.127  0.127  0.000
Mg  0.374  0.374  0.000
Mg  0.626  0.626  0.000

Properties
energy of formation: -29 meV per atom


# 5
# YBeP2

An optimized crystal structure of YBeP2 (PBE, the Alexandria database).

Cell lengths 5.407, 5.407, 3.980 Å; angles 74.42, 74.42, 41.63 degrees
Sites, in units of the cell vectors:
P  0.983  0.983  0.099
P  0.781  0.781  0.937
Be  0.201  0.201  0.916
Y  0.535  0.535  0.549

Properties
energy of formation: -601 meV per atom


# 6
# Dy2YCr2C4

An optimized crystal structure of Dy2YCr2C4 (PBE, the Alexandria database).

Cell lengths 3.413, 6.776, 5.953 Å; angles 109.30, 90.00, 104.59 degrees
Sites, in units of the cell vectors:
Dy  0.865  0.730  0.456
Dy  0.135  0.270  0.544
Cr  0.680  0.360  0.990
Cr  0.320  0.640  0.010
C  0.455  0.909  0.247
C  0.784  0.568  0.812
C  0.545  0.091  0.753
C  0.216  0.432  0.188
Y  0.000  0.000  0.000

Properties
energy of formation: -118 meV per atom


# 7
# Li4TbHo3S8

An optimized crystal structure of Li4TbHo3S8 (PBE, the Alexandria database).

Cell lengths 7.809, 7.647, 7.807 Å; angles 120.73, 120.01, 90.00 degrees
Sites, in units of the cell vectors:
S  0.750  0.749  0.500
S  0.252  0.250  0.001
S  0.748  0.750  0.999
S  0.749  0.250  0.001
S  0.749  0.250  0.498
S  0.251  0.750  0.502
S  0.250  0.251  0.500
S  0.251  0.750  0.999
Tb  0.000  0.500  0.000
Li  0.000  0.000  0.500
Li  0.500  0.000  0.500
Li  0.000  0.000  0.000
Li  0.500  0.000  0.000
Ho  0.000  0.500  0.500
Ho  0.500  0.500  0.500
Ho  0.500  0.500  0.000

Properties
E_form (uncorrected): -1.8520 eV/atom


# 8
# AcPr6Y8

An optimized crystal structure of AcPr6Y8 (PBE, the Alexandria database).

Cell lengths 9.456, 9.456, 8.719 Å; angles 57.16, 57.16, 60.00 degrees
Sites, in units of the cell vectors:
Y  0.430  0.430  0.709
Y  0.226  0.916  0.504
Y  0.353  0.226  0.504
Y  0.084  0.647  0.496
Y  0.774  0.084  0.496
Y  0.647  0.774  0.496
Y  0.570  0.570  0.291
Y  0.916  0.353  0.504
Ac  0.000  0.000  0.000
Pr  0.732  0.449  0.925
Pr  0.551  0.107  0.075
Pr  0.107  0.268  0.075
Pr  0.893  0.732  0.925
Pr  0.268  0.551  0.075
Pr  0.449  0.893  0.925

Properties
polymorph energy (0 for the lowest one): 0.028 eV per atom
energy of formation: 158 meV per atom


Calculated D(E_F), 0.8484; 1.2898; 0.3506; 1.4175; 0.4140; 0.8169; 0.0000; 1.4253 states/eV/atom (same order as the records).